Compound: MgRe4
Source: Alexandria
Functional: PBE
Structure: optimized geometry

Values from the calculation:
Space-group type ... Im-3m
Excess energy over the best structure of this formula in the dataset ... 8.959 eV per formula unit
Formation enthalpy at 0 K ... 994 kJ/mol of formula units

Cell lengths 4.854, 4.854, 4.854 Å; angles 109.47, 109.47, 109.47 degrees
Element x y z (fractional)
Mg1 0.000 0.000 0.000
Re1 0.000 0.000 0.500
Re2 0.000 0.500 0.000
Re3 0.500 0.000 0.000
Re4 0.500 0.500 0.500

***

Compound: MgRe2
Source: Alexandria
Functional: PBE
Structure: optimized geometry

Values from the calculation:
Space-group type ... Cmcm
Excess energy over the best structure of this formula in the dataset ... 0.247 eV per formula unit
Formation enthalpy at 0 K ... 58 kJ/mol of formula units

Cell lengths 5.226, 5.226, 4.501 Å; angles 90.00, 90.00, 129.79 degrees
Element x y z (fractional)
Mg1 0.076 0.924 0.750
Mg2 0.924 0.076 0.250
Re1 0.249 0.751 0.250
Re2 0.392 0.608 0.750
Re3 0.608 0.392 0.250
Re4 0.751 0.249 0.750